Entry 1:
Density functional theory data (PBE) for a relaxed YBeTc2Bi crystal.

Total energy ... -4.733 eV per atom
Formation energy ... 2.228 eV per atom

Geometry as POSCAR:
```
YBeTc2Bi
1.0
4.9525 0.0000 0.0000
0.0000 5.7448 0.0000
0.0000 0.0000 4.9525
Tc Bi Be Y
2 1 1 1
Cartesian
0.0000 0.0000 2.4762
2.4762 0.0000 0.0000
0.0000 2.8724 0.0000
2.4762 2.8724 2.4762
0.0000 0.0000 0.0000
```

---

Entry 2:
Density functional theory data (PBE) for a relaxed BeBiTe3 crystal.

Polymorph energy (0 for the lowest one) ... 0.0 meV per atom
Total energy ... -3.170 eV per atom
E_form (uncorrected) ... 237 meV per atom

Geometry as POSCAR:
```
BeBiTe3
1.0
5.0659 0.0000 0.0000
0.0000 5.0659 0.0000
0.0000 0.0000 5.0659
Bi Te Be
1 3 1
Cartesian
2.5329 2.5329 2.5329
0.0000 0.0000 2.5329
0.0000 2.5329 0.0000
2.5329 0.0000 0.0000
0.0000 0.0000 0.0000
```

---

Entry 3:
Density functional theory data (PBE) for a relaxed BeBi2Te crystal.

Polymorph energy (0 for the lowest one) ... 288.3 meV per atom
Total energy ... -3.039 eV per atom
E_form (uncorrected) ... 618 meV per atom

Geometry as POSCAR:
```
BeBi2Te
1.0
5.0353 -1.2502 -1.1726
1.7181 -4.9934 0.6376
1.0720 -3.0073 -4.2543
Bi Te Be
2 1 1
Cartesian
1.9563 -2.3127 -1.1974
5.8690 -6.9382 -3.5921
3.9127 -4.6255 -2.3947
0.0000 0.0000 0.0000
```

---

Entry 4:
Density functional theory data (PBE) for a relaxed BeBiTe2 crystal.

Polymorph energy (0 for the lowest one) ... 235.2 meV per atom
Total energy ... -3.254 eV per atom
E_form (uncorrected) ... 218 meV per atom

Geometry as POSCAR:
```
BeBiTe2
1.0
2.9933 0.0000 7.1500
-1.4966 2.5922 7.1500
-1.4966 -2.5922 7.1500
Be Te Bi
1 2 1
Cartesian
0.0000 0.0000 0.0000
0.0000 0.0000 2.2516
0.0000 0.0000 19.1983
0.0000 0.0000 10.7249
```

---

Entry 5:
Density functional theory data (PBE) for a relaxed BeBiTe2 crystal.

Polymorph energy (0 for the lowest one) ... 79.0 meV per atom
Total energy ... -3.411 eV per atom
E_form (uncorrected) ... 62 meV per atom

Geometry as POSCAR:
```
BeBiTe2
1.0
2.2935 0.0000 7.4976
-1.1468 1.9862 7.4976
-1.1468 -1.9862 7.4976
Te Bi Be
2 1 1
Cartesian
0.0000 0.0000 17.3365
0.0000 0.0000 5.1564
0.0000 0.0000 0.0000
0.0000 0.0000 11.2465
```

---

Entry 6:
Density functional theory data (PBE) for a relaxed BeBiTe2 crystal.

Polymorph energy (0 for the lowest one) ... 0.0 meV per atom
Total energy ... -3.490 eV per atom
E_form (uncorrected) ... -17 meV per atom

Geometry as POSCAR:
```
BeBiTe2
1.0
6.9592 0.0000 0.0000
0.0000 6.9592 0.0000
3.4796 3.4796 5.0186
Bi Be Te
2 2 4
Cartesian
0.0000 0.0000 0.0000
6.9592 3.4796 2.5093
3.4796 3.4796 0.0000
3.4796 6.9592 2.5093
4.6437 1.7398 1.2547
2.3155 5.2194 1.2547
8.6990 8.1233 3.7640
5.2194 5.7951 3.7640
```

---

Entry 7:
Density functional theory data (PBE) for a relaxed BeBiTe2 crystal.

Polymorph energy (0 for the lowest one) ... 562.7 meV per atom
Total energy ... -2.927 eV per atom
E_form (uncorrected) ... 546 meV per atom

Geometry as POSCAR:
```
BeBiTe2
1.0
2.6707 -0.9097 4.4488
-2.4388 0.3560 4.6559
-0.9641 -4.3517 2.8080
Te Bi Be
2 1 1
Cartesian
-0.1831 -1.2264 2.9782
-0.5492 -3.6791 8.9345
-0.3661 -2.4527 5.9563
0.0000 0.0000 0.0000
```

---

Entry 8:
Density functional theory data (PBE) for a relaxed BeBiTe3 crystal.

Polymorph energy (0 for the lowest one) ... 860.6 meV per atom
Total energy ... -2.309 eV per atom
E_form (uncorrected) ... 1097 meV per atom

Geometry as POSCAR:
```
BeBiTe3
1.0
5.9028 0.0000 0.0000
0.0000 5.9028 0.0000
0.0000 0.0000 5.9028
Te Bi Be
3 1 1
Cartesian
2.9514 0.0000 0.0000
0.0000 2.9514 0.0000
0.0000 0.0000 2.9514
0.0000 0.0000 0.0000
2.9514 2.9514 2.9514
```